No. 1
VIrRuPt (PBE, optimized geometry); energy of formation from the pure elements = -0.399 eV per atom
1.0
3.799 0.000 0.000
0.000 3.842 0.000
0.000 0.000 3.893
V Ir Ru Pt
1 1 1 1
Cartesian
0.000 0.000 0.000
1.900 0.000 1.946
1.900 1.921 0.000
0.000 1.921 1.946


No. 2
Ru4Se (PBE, optimized geometry); E above lowest polymorph = 690 meV per atom
1.0
-2.768 2.768 2.768
2.768 -2.768 2.768
2.768 2.768 -2.768
Ru Se
4 1
Cartesian
1.384 1.384 -1.384
1.384 -1.384 1.384
-1.384 1.384 1.384
1.384 1.384 1.384
0.000 0.000 0.000


No. 3
TbAlCo (PBE, optimized geometry); energy of formation from the pure elements = -0.291 eV per atom
1.0
4.195 0.000 0.000
-2.098 3.633 0.000
0.000 0.000 3.789
Tb Al Co
1 1 1
Cartesian
0.000 0.000 0.000
2.098 1.211 1.894
0.000 2.422 1.894


No. 4
KFePt2 (PBE, optimized geometry); E above lowest polymorph = 411 meV per atom; energy of formation from the pure elements = 0.414 eV per atom
1.0
2.958 -4.269 0.000
2.958 4.269 0.000
0.000 0.000 2.777
K Fe Pt
1 1 2
Cartesian
0.000 0.000 0.000
2.958 0.000 0.000
1.479 2.134 1.388
1.479 -2.134 1.388


No. 5
MnAg2Ir (PBE, optimized geometry); E above lowest polymorph = 65 meV per atom; energy of formation from the pure elements = 0.213 eV per atom
1.0
1.488 -2.355 0.000
1.488 2.355 0.000
0.000 0.000 9.281
Mn Ag Ir
1 2 1
Cartesian
0.000 0.000 0.000
0.000 0.000 4.467
1.488 0.000 6.956
1.488 0.000 2.001


No. 6
CuRe2P (PBE, optimized geometry); energy of formation from the pure elements = 0.241 eV per atom
1.0
4.197 0.000 0.000
0.000 4.197 0.000
0.000 0.000 2.967
Cu Re P
1 2 1
Cartesian
0.000 0.000 0.000
0.000 2.098 1.484
2.098 0.000 1.484
2.098 2.098 0.000


No. 7
MnCuTeI2 (PBE, optimized geometry); E above lowest polymorph = 16 meV per atom
1.0
5.302 0.000 0.000
0.000 5.302 0.000
0.000 0.000 5.397
Mn Cu Te I
1 1 1 2
Cartesian
0.000 0.000 0.000
2.651 2.651 2.698
2.651 2.651 0.000
0.000 2.651 2.698
2.651 0.000 2.698


No. 8
GePtNF2 (PBE, optimized geometry); E above lowest polymorph = 60 meV per atom
1.0
3.907 0.000 0.000
0.000 3.907 0.000
0.000 0.000 3.970
Ge Pt N F
1 1 1 2
Cartesian
0.000 0.000 0.000
1.953 1.953 1.985
0.000 0.000 1.985
0.000 1.953 0.000
1.953 0.000 0.000


No. 9
SrBI3 (PBE, optimized geometry); E above lowest polymorph = 401 meV per atom
1.0
6.379 0.000 0.000
0.000 6.379 0.000
0.000 0.000 6.379
Sr B I
1 1 3
Cartesian
0.000 0.000 0.000
3.190 3.190 3.190
0.000 0.000 3.190
0.000 3.190 0.000
3.190 0.000 0.000


No. 10
La2SbPt2 (PBE, optimized geometry); E above lowest polymorph = 0 meV per atom
1.0
7.836 0.000 0.000
0.000 7.836 0.000
0.000 0.000 4.064
La Sb Pt
4 2 4
Cartesian
1.395 2.523 0.000
2.523 6.441 0.000
5.313 1.395 0.000
6.441 5.313 0.000
0.000 0.000 2.032
3.918 3.918 2.032
0.990 4.908 2.032
2.928 0.990 2.032
4.908 6.846 2.032
6.846 2.928 2.032


No. 11
CuReW2 (PBE, optimized geometry); E above lowest polymorph = 141 meV per atom; energy of formation from the pure elements = 0.365 eV per atom
1.0
2.785 0.000 0.000
0.000 2.785 0.000
0.000 0.000 7.760
Cu Re W
1 1 2
Cartesian
0.000 0.000 0.000
0.000 0.000 3.880
1.392 1.392 1.903
1.392 1.392 5.856


No. 12
NdDyCo4 (PBE, optimized geometry); E above lowest polymorph = 0 meV per atom; energy of formation from the pure elements = -0.145 eV per atom
1.0
3.870 0.000 0.000
0.000 4.128 0.000
0.000 0.000 6.713
Nd Dy Co
1 1 4
Cartesian
0.000 0.000 0.000
1.935 0.000 3.356
0.000 2.064 2.254
0.000 2.064 4.459
1.935 2.064 1.137
1.935 2.064 5.576


No. 13
GeTeF2 (PBE, optimized geometry); E above lowest polymorph = 0 meV per atom
1.0
1.544 0.891 8.864
-1.544 0.891 8.864
0.000 -1.783 8.864
Ge Te F
1 1 2
Cartesian
0.000 0.000 0.000
0.000 0.000 13.296
0.000 0.000 1.895
0.000 0.000 24.696


No. 14
VSb2Os (PBE, optimized geometry); E above lowest polymorph = 462 meV per atom
1.0
-3.097 3.097 5.891
3.097 -3.097 5.891
3.097 3.097 -5.891
V Sb Os
2 4 2
Cartesian
0.000 0.000 0.000
0.000 3.097 2.945
1.548 -1.396 4.418
1.700 1.548 1.473
1.548 4.493 -1.473
1.396 1.548 7.363
3.097 0.000 2.945
0.000 0.000 5.891


No. 15
Ta2PbI (PBE, optimized geometry); E above lowest polymorph = 261 meV per atom
1.0
-2.179 2.179 10.087
2.179 -2.179 10.087
2.179 2.179 -10.087
Ta Pb I
4 2 2
Cartesian
3.269 1.043 -2.522
1.043 1.090 2.522
-1.090 1.136 7.565
1.136 1.090 12.609
2.179 0.000 5.044
0.000 0.000 10.087
0.000 0.000 0.000
0.000 2.179 5.044


No. 16
ZnGeSe2N (PBE, optimized geometry); E above lowest polymorph = 0 meV per atom
1.0
5.266 0.000 0.000
0.000 5.266 0.000
0.000 0.000 3.496
Zn Ge Se N
1 1 2 1
Cartesian
0.000 0.000 0.000
2.633 2.633 1.748
0.000 2.633 1.748
2.633 0.000 1.748
2.633 2.633 0.000


No. 17
LiNdEr2In4 (PBE, optimized geometry); energy of formation from the pure elements = -0.406 eV per atom
1.0
2.611 1.507 8.765
-2.611 1.507 8.765
0.000 -3.014 8.765
Li Nd Er In
1 1 2 4
Cartesian
0.000 0.000 0.000
0.000 0.000 13.148
0.000 0.000 6.667
0.000 0.000 19.628
0.000 0.000 3.170
0.000 0.000 9.782
0.000 0.000 16.513
0.000 0.000 23.125


No. 18
LaTl3Sb (PBE, optimized geometry); E above lowest polymorph = 0 meV per atom
1.0
5.736 0.000 0.000
0.000 5.736 0.000
0.000 0.000 5.736
La Tl Sb
1 3 1
Cartesian
0.000 0.000 0.000
0.000 2.868 2.868
2.868 0.000 2.868
2.868 2.868 0.000
2.868 2.868 2.868


No. 19
Pm4Hg3Ru (PBE, optimized geometry); energy of formation from the pure elements = -0.403 eV per atom
1.0
3.644 0.000 0.000
0.000 3.644 0.000
0.000 0.000 15.697
Pm Hg Ru
4 3 1
Cartesian
0.000 0.000 1.667
0.000 0.000 5.823
0.000 0.000 9.875
0.000 0.000 14.031
1.822 1.822 3.826
1.822 1.822 7.849
1.822 1.822 11.871
1.822 1.822 0.000


No. 20
Ce2RuBr2 (PBE, optimized geometry); calculated total energy = -5.9769 eV per atom
1.0
3.502 -2.022 0.000
3.502 2.022 0.000
-2.574 0.000 11.132
Ce Ru Br
2 1 2
Cartesian
1.165 0.000 1.581
3.265 0.000 9.552
3.502 0.000 0.000
-1.405 0.000 7.573
5.835 0.000 3.560